Entry 1:
InRh2W: relaxed, GGA-PBEsol.

## Properties
ΔE_f: -279 meV per atom
symmetry: No. 123
density of states at the Fermi level: 2.1 states/eV/cell
ρ: 13.71 g/cm³

Lattice parameters (Å, degrees): 2.8454 2.8454 7.5485 90.00 90.00 90.00
Last column: nearest neighbours and their distance in Å.
Element x y z (fractional)
Rh 0.0000 0.0000 0.2371  4 W 2.69, 4 In 2.83, 4 Rh 2.85
Rh 0.0000 0.0000 0.7629  4 W 2.69, 4 In 2.83, 4 Rh 2.85
W 0.5000 0.5000 0.0000  8 Rh 2.69, 4 W 2.85
In 0.5000 0.5000 0.5000  8 Rh 2.83, 4 In 2.85



Entry 2:
In2RhW: relaxed, GGA-PBEsol.

## Properties
ΔE_f: 179 meV per atom
symmetry: No. 160
distance to the lowest polymorph of the same formula: 0.000 eV per atom
density of states at the Fermi level: 3.4 states/eV/cell
ρ: 11.97 g/cm³

Lattice parameters (Å, degrees): 2.9654 2.9654 9.5626 81.08 81.08 60.00
Last column: nearest neighbours and their distance in Å.
Element x y z (fractional)
W 0.2421 0.2421 0.2736  3 Rh 2.62
In 0.9941 0.9941 0.0178  3 W 2.95, 9 In 2.97-3.25
In 0.7588 0.7588 0.7236  3 Rh 2.82, 6 In 2.97
Rh 0.5050 0.5050 0.4850  3 W 2.62, 3 In 2.82



Entry 3:
Y2InRh: relaxed, GGA-PBEsol.

## Properties
ΔE_f: -590 meV per atom
symmetry: No. 38
density of states at the Fermi level: 2.7 states/eV/cell
ρ: 6.92 g/cm³

Lattice parameters (Å, degrees): 4.4113 3.7946 6.0866 90.00 111.25 90.00
Last column: nearest neighbours and their distance in Å.
Element x y z (fractional)
Y 0.1179 0.0000 0.2358  4 Rh 2.94, 2 In 3.22
Y 0.4181 0.5000 0.8362  1 Rh 2.67
Rh 0.6537 0.5000 0.3075  5 Y 2.67-2.94, 2 In 2.71
In 0.8245 0.0000 0.6490  2 Rh 2.71



Entry 4:
Y2InRh: relaxed, GGA-PBEsol.

## Properties
ΔE_f: -561 meV per atom
symmetry: No. 71
density of states at the Fermi level: 1.8 states/eV/cell
ρ: 7.26 g/cm³

Lattice parameters (Å, degrees): 4.2890 5.1898 5.2762 119.46 113.98 90.00
Last column: nearest neighbours and their distance in Å.
Element x y z (fractional)
Rh 0.0000 0.5000 0.0000  4 Y 2.78
In 0.5000 0.0000 0.0000  8 Y 3.14, 4 Rh 3.37
Y 0.7185 0.7185 0.4371  2 Rh 2.78
Y 0.2815 0.2815 0.5629  2 Rh 2.78



Entry 5:
Y2InRh: relaxed, GGA-PBEsol.

## Properties
ΔE_f: -578 meV per atom
symmetry: No. 123
density of states at the Fermi level: 2.0 states/eV/cell
ρ: 7.38 g/cm³

Lattice parameters (Å, degrees): 3.6655 4.9272 4.9272 90.00 90.00 90.00
Last column: nearest neighbours and their distance in Å.
Element x y z (fractional)
Rh 0.5000 0.5000 0.5000  8 Y 3.07
In 0.5000 0.0000 0.0000  8 Y 3.07
Y 0.0000 0.5000 0.0000  4 Rh 3.07, 4 In 3.07
Y 0.0000 0.0000 0.5000  4 Rh 3.07, 4 In 3.07



Entry 6:
YInRh: relaxed, GGA-PBEsol.

## Properties
ΔE_f: -757 meV per atom
symmetry: No. 189
density of states at the Fermi level: 6.2 states/eV/cell
ρ: 8.29 g/cm³

Lattice parameters (Å, degrees): 3.8912 7.3959 7.3959 120.00 90.00 90.00
Last column: nearest neighbours and their distance in Å.
Element x y z (fractional)
Rh 0.0000 0.6667 0.3333  3 In 2.79, 6 Y 2.97
Rh 0.5000 0.0000 0.0000  6 In 2.72, 3 Y 3.01
Rh 0.0000 0.3333 0.6667  3 In 2.79, 6 Y 2.97
In 0.0000 0.0000 0.2563  4 Rh 2.72-2.79
In 0.0000 0.2563 0.0000  4 Rh 2.72-2.79
In 0.0000 0.7437 0.7437  4 Rh 2.72-2.79
Y 0.5000 0.5929 0.0000  5 Rh 2.97-3.01, 6 In 3.16-3.28
Y 0.5000 0.0000 0.5929  5 Rh 2.97-3.01, 6 In 3.16-3.28
Y 0.5000 0.4071 0.4071  5 Rh 2.97-3.01, 6 In 3.16-3.28



Entry 7:
YIn2Rh2: relaxed, GGA-PBEsol.

## Properties
ΔE_f: -441 meV per atom
symmetry: No. 139
density of states at the Fermi level: 3.4 states/eV/cell
ρ: 8.61 g/cm³

Lattice parameters (Å, degrees): 4.1380 4.1380 6.5922 108.29 108.29 90.00
Last column: nearest neighbours and their distance in Å.
Element x y z (fractional)
Rh 0.6042 0.6042 0.2084  1 Rh 2.46, 4 In 2.69
Rh 0.3958 0.3958 0.7916  1 Rh 2.46, 4 In 2.69
In 0.2500 0.7500 0.5000  4 Rh 2.69, 4 In 2.93
In 0.7500 0.2500 0.5000  4 Rh 2.69, 4 In 2.93
Y 0.0000 0.0000 0.0000  8 Rh 3.17



Entry 8:
ZnIn2Rh: relaxed, GGA-PBEsol.

## Properties
ΔE_f: -138 meV per atom
symmetry: No. 44
density of states at the Fermi level: 1.2 states/eV/cell
ρ: 9.76 g/cm³

Lattice parameters (Å, degrees): 3.9662 4.0424 5.0851 113.42 112.95 90.00
Last column: nearest neighbours and their distance in Å.
Element x y z (fractional)
Zn 0.7528 0.2528 0.5055  8 In 2.83-2.91, 4 Rh 2.87-2.95
Rh 0.4976 0.4976 0.9952  8 In 2.83-2.92, 4 Zn 2.87-2.95
In 0.2486 0.7486 0.4971  4 Zn 2.83, 4 Rh 2.90-2.92, 4 In 2.91
In 0.0011 0.0011 0.0021  4 Rh 2.83, 4 Zn 2.91, 4 In 2.91



Entry 9:
Zn2InRh: relaxed, GGA-PBEsol.

## Properties
ΔE_f: -257 meV per atom
symmetry: No. 119
density of states at the Fermi level: 1.3 states/eV/cell
ρ: 9.64 g/cm³

Lattice parameters (Å, degrees): 3.8344 3.8344 4.9025 113.02 113.02 90.00
Last column: nearest neighbours and their distance in Å.
Element x y z (fractional)
Zn 0.2500 0.7500 0.5000  4 Rh 2.71, 4 Zn 2.80, 4 In 2.80
Zn 0.5000 0.5000 0.0000  4 In 2.71, 4 Rh 2.80, 4 Zn 2.80
In 0.0000 0.0000 0.0000  8 Zn 2.71-2.80, 4 Rh 2.80
Rh 0.7500 0.2500 0.5000  8 Zn 2.71-2.80, 4 In 2.80



Entry 10:
Zn2InRh: relaxed, GGA-PBEsol.

## Properties
ΔE_f: -248 meV per atom
symmetry: No. 139
density of states at the Fermi level: 1.2 states/eV/cell
ρ: 9.60 g/cm³

Lattice parameters (Å, degrees): 3.8070 3.8070 4.9565 112.58 112.58 90.00
Last column: nearest neighbours and their distance in Å.
Element x y z (fractional)
In 0.5000 0.5000 0.0000  4 Rh 2.69, 8 Zn 2.82
Rh 0.0000 0.0000 0.0000  4 In 2.69, 8 Zn 2.82
Zn 0.2500 0.7500 0.5000  4 Zn 2.69, 4 Rh 2.82, 4 In 2.82
Zn 0.7500 0.2500 0.5000  4 Zn 2.69, 4 Rh 2.82, 4 In 2.82



Entry 11:
Zn2InRh2: relaxed, GGA-PBEsol.

## Properties
ΔE_f: -276 meV per atom
symmetry: No. 127
density of states at the Fermi level: 4.8 states/eV/cell
ρ: 9.90 g/cm³

Lattice parameters (Å, degrees): 3.0930 6.9977 6.9977 90.00 90.00 90.00
Last column: nearest neighbours and their distance in Å.
Element x y z (fractional)
Rh 0.0000 0.8525 0.6475  6 Zn 2.55-2.58, 2 In 2.67
Rh 0.0000 0.6475 0.1475  6 Zn 2.55-2.58, 2 In 2.67
Rh 0.0000 0.1475 0.3525  6 Zn 2.55-2.58, 2 In 2.67
Rh 0.0000 0.3525 0.8525  6 Zn 2.55-2.58, 2 In 2.67
In 0.0000 0.0000 0.0000  4 Rh 2.67
In 0.0000 0.5000 0.5000  4 Rh 2.67
Zn 0.5000 0.3524 0.1476  6 Rh 2.55-2.58
Zn 0.5000 0.8524 0.3524  6 Rh 2.55-2.58
Zn 0.5000 0.6476 0.8524  6 Rh 2.55-2.58
Zn 0.5000 0.1476 0.6476  6 Rh 2.55-2.58



Entry 12:
Zn2InRh: relaxed, GGA-PBEsol.

## Properties
ΔE_f: -175 meV per atom
symmetry: No. 38
density of states at the Fermi level: 1.5 states/eV/cell
ρ: 9.16 g/cm³

Lattice parameters (Å, degrees): 3.0165 4.1497 5.2672 90.00 106.64 90.00
Last column: nearest neighbours and their distance in Å.
Element x y z (fractional)
Zn 0.2241 0.5000 0.4482  6 Zn 2.70-3.02, 3 Rh 2.72-2.78
Zn 0.8081 0.0000 0.6162  2 Rh 2.51, 1 In 2.64, 4 Zn 2.70
Rh 0.9487 0.5000 0.8974  5 Zn 2.51-2.78, 4 In 2.75
In 0.5468 0.0000 0.0936  3 Zn 2.64-2.84, 4 Rh 2.75



Entry 13:
ZnInRh2: relaxed, GGA-PBEsol.

## Properties
ΔE_f: -426 meV per atom
symmetry: No. 225
density of states at the Fermi level: 1.2 states/eV/cell
ρ: 10.95 g/cm³

Lattice parameters (Å, degrees): 4.3580 4.3580 4.3580 60.00 60.00 60.00
Last column: nearest neighbours and their distance in Å.
Element x y z (fractional)
Rh 0.7500 0.7500 0.7500  4 Zn 2.67, 4 In 2.67
Rh 0.2500 0.2500 0.2500  4 In 2.67, 4 Zn 2.67
In 0.0000 0.0000 0.0000  8 Rh 2.67
Zn 0.5000 0.5000 0.5000  8 Rh 2.67



Entry 14:
ZnIn2Rh: relaxed, GGA-PBEsol.

## Properties
ΔE_f: -166 meV per atom
symmetry: No. 123
density of states at the Fermi level: 1.4 states/eV/cell
ρ: 9.59 g/cm³

Lattice parameters (Å, degrees): 3.4820 3.4820 5.6829 90.00 90.00 90.00
Last column: nearest neighbours and their distance in Å.
Element x y z (fractional)
In 0.0000 0.0000 0.2443  2 In 2.78-2.91, 4 Rh 2.83, 4 Zn 2.86
In 0.0000 0.0000 0.7557  2 In 2.78-2.91, 4 Rh 2.83, 4 Zn 2.86
Zn 0.5000 0.5000 0.5000  2 Rh 2.84, 8 In 2.86
Rh 0.5000 0.5000 0.0000  8 In 2.83, 2 Zn 2.84